i:
Material: Ni5W7
Method: DFT, PBE-GGA
State: relaxed

Unit cell a=4.9685 b=4.9685 c=15.7840 alpha=90.00 beta=90.00 gamma=120.00
Fractional coordinates of all 24 atoms:
Ni 0.1594 0.3189 0.2500
Ni 0.1594 0.8406 0.2500
Ni 0.3189 0.1594 0.7500
Ni 0.3333 0.6667 0.1329
Ni 0.3333 0.6667 0.3671
Ni 0.6667 0.3333 0.6329
Ni 0.6667 0.3333 0.8671
Ni 0.6811 0.8406 0.2500
Ni 0.8406 0.1594 0.7500
Ni 0.8406 0.6811 0.7500
W 0.0000 0.0000 0.1027
W 0.0000 0.0000 0.3973
W 0.0000 0.0000 0.6027
W 0.0000 0.0000 0.8973
W 0.0000 0.5000 0.0000
W 0.0000 0.5000 0.5000
W 0.3333 0.6667 0.6623
W 0.3333 0.6667 0.8377
W 0.5000 0.0000 0.0000
W 0.5000 0.0000 0.5000
W 0.5000 0.5000 0.0000
W 0.5000 0.5000 0.5000
W 0.6667 0.3333 0.1623
W 0.6667 0.3333 0.3377

SG: P6_3/mmc (194)

=====

ii:
Material: Ni5W7
Method: DFT, PBE-GGA
State: relaxed

Unit cell a=5.0187 b=5.0187 c=16.3798 alpha=90.00 beta=90.00 gamma=120.00
Fractional coordinates of all 24 atoms:
Ni 0.0000 0.5000 0.0000
Ni 0.0000 0.5000 0.5000
Ni 0.3333 0.6667 0.1573
Ni 0.3333 0.6667 0.3427
Ni 0.5000 0.0000 0.0000
Ni 0.5000 0.0000 0.5000
Ni 0.5000 0.5000 0.0000
Ni 0.5000 0.5000 0.5000
Ni 0.6667 0.3333 0.6573
Ni 0.6667 0.3333 0.8427
W 0.0000 0.0000 0.0901
W 0.0000 0.0000 0.4099
W 0.0000 0.0000 0.5901
W 0.0000 0.0000 0.9099
W 0.1637 0.3274 0.7500
W 0.1637 0.8363 0.7500
W 0.3274 0.1637 0.2500
W 0.3333 0.6667 0.6163
W 0.3333 0.6667 0.8837
W 0.6667 0.3333 0.1163
W 0.6667 0.3333 0.3837
W 0.6726 0.8363 0.7500
W 0.8363 0.1637 0.2500
W 0.8363 0.6726 0.2500

SG: P6_3/mmc (194)

=====

Quick look at relative energies in meV/atom: i 0; ii 283.